Compound: ScCd2Ir
Source: the Alexandria database
Functional: GGA-PBE
Structure: relaxed

## Properties
As for the symmetry: I-42d. The volume is 326.58 Å³/cell. Its density is 9396 kg/m³. For the formation energy from the elements, the calculation gives -0.2 eV/f.u.

Structure (extended XYZ):
```
16
Lattice="3.9538 0.0000 0.0000 0.0000 3.9538 0.0000 0.0000 0.0000 20.8911" Properties=species:S:1:pos:R:3 pbc="T T T"
Sc 0.0000 0.0000 0.0000
Sc 0.0000 1.9769 5.2228
Sc 1.9769 0.0000 15.6683
Sc 1.9769 1.9769 10.4456
Cd 0.9417 0.9885 13.0570
Cd 0.9885 2.9186 18.2797
Cd 0.9885 3.0121 7.8342
Cd 1.0352 0.9885 2.6114
Cd 2.9186 2.9654 2.6114
Cd 2.9654 0.9417 7.8342
Cd 2.9654 1.0352 18.2797
Cd 3.0121 2.9654 13.0570
Ir 0.0000 0.0000 10.4456
Ir 0.0000 1.9769 15.6683
Ir 1.9769 0.0000 5.2228
Ir 1.9769 1.9769 0.0000
```

---

Compound: AsP2Rh
Source: the Alexandria database
Functional: GGA-PBE
Structure: relaxed

## Properties
As for the symmetry: I-4m2. The volume is 121.07 Å³/cell. Its density is 6577 kg/m³. For the formation energy from the elements, the calculation gives 1.3 eV/f.u.

Structure (extended XYZ):
```
8
Lattice="4.1692 0.0000 0.0000 0.0000 4.1692 0.0000 0.0000 0.0000 6.9652" Properties=species:S:1:pos:R:3 pbc="T T T"
As 0.0000 0.0000 0.0000
As 2.0846 2.0846 3.4826
P 0.0000 0.0000 3.4826
P 0.0000 2.0846 5.2239
P 2.0846 0.0000 1.7413
P 2.0846 2.0846 0.0000
Rh 0.0000 2.0846 1.7413
Rh 2.0846 0.0000 5.2239
```